# Sr7Hg2Pt2, relaxed, DFT PBE
# Energy relative to the elements, meV per atom: -556
# Fermi-level density of states, states/eV per cell: 12.6
# Energy relative to the lowest polymorph listed for this composition, meV per atom: 0
# VASP energy, Ry/atom: -0.2043
data_Sr7Hg2Pt2
_chemical_formula_sum 'Sr14 Hg4 Pt4'
_symmetry_space_group_name_H-M 'I m m 2'
_symmetry_Int_Tables_number 44
_symmetry_space_group_name_Hall 'I 2 -2'
_cell_length_a 4.346
_cell_length_b 17.189
_cell_length_c 10.414
_cell_angle_alpha 90.00
_cell_angle_beta 90.00
_cell_angle_gamma 90.00
loop_
_atom_site_label
_atom_site_fract_x
_atom_site_fract_y
_atom_site_fract_z
_atom_site_occupancy
Sr1 0.000 0.000 0.000 1
Sr2 0.000 0.123 0.590 1
Sr3 0.000 0.310 0.387 1
Sr4 0.000 0.355 0.746 1
Hg1 0.000 0.000 0.330 1
Hg2 0.000 0.500 0.258 1
Pt1 0.000 0.242 0.093 1

# RbRe2BH, relaxed, DFT PBE
# Fermi-level density of states, states/eV per cell: 5.5
# VASP energy, Ry/atom: -0.3815
data_RbRe2BH
_chemical_formula_sum 'Rb1 Re2 B1 H1'
_symmetry_space_group_name_H-M 'P 4/m m m'
_symmetry_Int_Tables_number 123
_symmetry_space_group_name_Hall '-P 4 2'
_cell_length_a 3.787
_cell_length_b 3.787
_cell_length_c 5.858
_cell_angle_alpha 90.00
_cell_angle_beta 90.00
_cell_angle_gamma 90.00
loop_
_atom_site_label
_atom_site_fract_x
_atom_site_fract_y
_atom_site_fract_z
_atom_site_occupancy
Rb1 0.000 0.000 0.000 1
Re1 0.000 0.500 0.500 1
B1 0.500 0.500 0.000 1
H1 0.500 0.500 0.500 1

# Pm5Nd4Mg, relaxed, DFT PBE
# Energy relative to the elements, meV per atom: 168
# Fermi-level density of states, states/eV per cell: 23.4
# Energy relative to the lowest polymorph listed for this composition, meV per atom: 83
# VASP energy, Ry/atom: -0.3141
data_Pm5Nd4Mg
_chemical_formula_sum 'Pm10 Nd8 Mg2'
_symmetry_space_group_name_H-M 'I 4 m m'
_symmetry_Int_Tables_number 107
_symmetry_space_group_name_Hall 'I 4 -2'
_cell_length_a 10.786
_cell_length_b 10.786
_cell_length_c 5.979
_cell_angle_alpha 90.00
_cell_angle_beta 90.00
_cell_angle_gamma 90.00
loop_
_atom_site_label
_atom_site_fract_x
_atom_site_fract_y
_atom_site_fract_z
_atom_site_occupancy
Pm1 0.000 0.000 0.000 1
Pm2 0.186 0.186 0.709 1
Nd1 0.000 0.318 0.196 1
Mg1 0.000 0.000 0.475 1

# Sr2BeBr, relaxed, DFT PBE
# Fermi-level density of states, states/eV per cell: 4.4
# Energy relative to the lowest polymorph listed for this composition, meV per atom: 62
# VASP energy, Ry/atom: -0.1913
# Raw formation energy, kJ/mol of formula units: -159
data_Sr2BeBr
_chemical_formula_sum 'Sr2 Be1 Br1'
_symmetry_space_group_name_H-M 'P 4/m m m'
_symmetry_Int_Tables_number 123
_symmetry_space_group_name_Hall '-P 4 2'
_cell_length_a 4.538
_cell_length_b 4.538
_cell_length_c 6.418
_cell_angle_alpha 90.00
_cell_angle_beta 90.00
_cell_angle_gamma 90.00
loop_
_atom_site_label
_atom_site_fract_x
_atom_site_fract_y
_atom_site_fract_z
_atom_site_occupancy
Sr1 0.000 0.000 0.000 1
Sr2 0.500 0.500 0.500 1
Be1 0.000 0.000 0.500 1
Br1 0.500 0.500 0.000 1

What is the formula in the second record?
RbRe2BH

What is the VASP energy in the second record?
-0.3815 Ry/atom

Number 2 is which compound?
RbRe2BH

Look up the VASP energy of the second one.
-0.3815 Ry/atom